Entry i
Below is a relaxed structure of Si2SeCl, with properties calculated at the PBE-GGA level.

The crystal system is orthorhombic.

The structure belongs to space group Immm (No. 71); the cell edges are 3.5637, 6.1308 and 7.8509 Å and the angles 90.00°, 90.00° and 90.00°. Symmetry generates all atoms from Si at (0.0000, 0.0000, 0.2358), Se at (0.0000, 0.5000, 0.5000) and Cl at (0.0000, 0.5000, 0.0000).

***

Entry ii
Below is a relaxed structure of Si2SeCl, with properties calculated at the PBE-GGA level.

The crystal system is tetragonal.

The structure belongs to space group P4/mmm (No. 123); the cell edges are 3.3634, 3.3634 and 6.9557 Å and the angles 90.00°, 90.00° and 90.00°. Symmetry generates all atoms from Si at (0.0000, 0.0000, 0.2191), Se at (0.5000, 0.5000, 0.0000) and Cl at (0.5000, 0.5000, 0.5000).

***

Entry iii
Below is a relaxed structure of Si2SeCl, with properties calculated at the PBE-GGA level.

The crystal system is orthorhombic.

The structure belongs to space group Pmmm (No. 47); the cell edges are 3.0249, 3.7286 and 7.4911 Å and the angles 90.00°, 90.00° and 90.00°. Symmetry generates all atoms from Si at (0.0000, 0.0000, 0.2423), Se at (0.0000, 0.5000, 0.0000) and Cl at (0.0000, 0.5000, 0.5000).

***

Entry iv
Below is a relaxed structure of Si2SeCl, with properties calculated at the PBE-GGA level.

The crystal system is orthorhombic.

The structure belongs to space group Pmmm (No. 47); the cell edges are 3.5085, 3.9329 and 5.9433 Å and the angles 90.00°, 90.00° and 90.00°. Symmetry generates all atoms from Si at (0.0000, 0.0000, 0.0000), Si at (0.5000, 0.0000, 0.5000), Se at (0.0000, 0.5000, 0.5000) and Cl at (0.5000, 0.5000, 0.0000).

***

Which of them is the most stable? Correct choice: entry iii.

***

Entry i
Below is a relaxed structure of Si2SeCl, with properties calculated at the PBE-GGA level.

The crystal system is tetragonal.

The structure belongs to space group I-42d (No. 122); the cell edges are 7.2837, 7.2837 and 6.5037 Å and the angles 90.00°, 90.00° and 90.00°. Symmetry generates all atoms from Si at (0.2285, 0.2500, 0.1250), Se at (0.0000, 0.0000, 0.0000) and Cl at (0.0000, 0.0000, 0.5000).

***

Entry ii
Below is a relaxed structure of Si2SeCl, with properties calculated at the PBE-GGA level.

The crystal system is orthorhombic.

The structure belongs to space group Cmm2 (No. 35); the cell edges are 3.4604, 6.5419 and 8.8230 Å and the angles 90.00°, 90.00° and 90.00°. Symmetry generates all atoms from Si at (0.0000, 0.0000, 0.0000), Si at (0.0000, 0.5000, 0.2019), Se at (0.0000, 0.5000, 0.8200) and Cl at (0.0000, 0.0000, 0.3951).

***

Which of them is the most stable? Correct choice: entry ii.